# 1
The following is a DFT calculation (GGA-PBE) of crystalline Li3Nd2TmTe6 at its relaxed geometry.

Cell lengths 7.6374, 7.6374, 7.5260 Å; angles 99.75, 99.75, 120.00 degrees
Positions (direct):
Li  0.0000  0.0000  0.0000
Li  0.3325  0.6675  0.0000
Li  0.6675  0.3325  0.0000
Nd  0.1666  0.8334  0.5000
Nd  0.8334  0.1666  0.5000
Tm  0.5000  0.5000  0.5000
Te  0.0905  0.4136  0.2407
Te  0.2632  0.2632  0.7577
Te  0.4136  0.0905  0.2407
Te  0.5864  0.9095  0.7593
Te  0.7368  0.7368  0.2423
Te  0.9095  0.5864  0.7593

As for the space group: C2/m, No. 12. Its final energy is -4.503 eV/atom.


# 2
The following is a DFT calculation (GGA-PBE) of crystalline TiCu2B at its relaxed geometry.

Cell lengths 8.9686, 8.9686, 8.9686 Å; angles 158.41, 158.41, 30.72 degrees
Positions (direct):
Ti  0.0000  0.0000  0.0000
Ti  0.7500  0.2500  0.5000
Cu  0.1435  0.6250  0.0185
Cu  0.3750  0.3935  0.5185
Cu  0.6065  0.1250  0.9815
Cu  0.8750  0.8565  0.4815
B  0.2500  0.7500  0.5000
B  0.5000  0.5000  0.0000

As for the space group: I-42d, No. 122. The formation energy is 1.090 eV per formula unit. Its final energy is -5.419 eV/atom.